VASP calculation (PBE-GGA) on an optimized crystal structure of Al2Zn4Ga.

Computed properties:
ΔH_f (0 K) = 0.1325 eV per atom
energy above the lowest structure with this stoichiometry = 0 meV/atom

a = 8.870 Å, b = 8.870 Å, c = 8.870 Å
α = 60.00°, β = 60.00°, γ = 60.00°
Positions (direct):
Al (0.142, 0.786, 0.786)
Al (0.214, 0.214, 0.214)
Al (0.214, 0.214, 0.858)
Al (0.214, 0.858, 0.214)
Al (0.786, 0.142, 0.786)
Al (0.786, 0.786, 0.142)
Al (0.786, 0.786, 0.786)
Al (0.858, 0.214, 0.214)
Zn (0.000, 0.000, 0.000)
Zn (0.000, 0.000, 0.500)
Zn (0.000, 0.500, 0.000)
Zn (0.142, 0.142, 0.608)
Zn (0.142, 0.608, 0.142)
Zn (0.142, 0.608, 0.608)
Zn (0.392, 0.392, 0.858)
Zn (0.392, 0.858, 0.392)
Zn (0.392, 0.858, 0.858)
Zn (0.500, 0.000, 0.000)
Zn (0.608, 0.142, 0.142)
Zn (0.608, 0.142, 0.608)
Zn (0.608, 0.608, 0.142)
Zn (0.858, 0.392, 0.392)
Zn (0.858, 0.392, 0.858)
Zn (0.858, 0.858, 0.392)
Ga (0.000, 0.500, 0.500)
Ga (0.500, 0.000, 0.500)
Ga (0.500, 0.500, 0.000)
Ga (0.500, 0.500, 0.500)

---

VASP calculation (PBE-GGA) on an optimized crystal structure of Al4Zn2Ga3.

Computed properties:
ΔH_f (0 K) = 0.0909 eV per atom
energy above the lowest structure with this stoichiometry = 42 meV/atom

a = 7.640 Å, b = 7.640 Å, c = 5.612 Å
α = 93.24°, β = 93.24°, γ = 101.04°
Positions (direct):
Al (0.019, 0.192, 0.465)
Al (0.192, 0.019, 0.965)
Al (0.372, 0.379, 0.610)
Al (0.379, 0.372, 0.110)
Al (0.621, 0.628, 0.890)
Al (0.628, 0.621, 0.390)
Al (0.808, 0.981, 0.035)
Al (0.981, 0.808, 0.535)
Zn (0.139, 0.535, 0.345)
Zn (0.465, 0.861, 0.155)
Zn (0.535, 0.139, 0.845)
Zn (0.861, 0.465, 0.655)
Ga (0.024, 0.299, 0.964)
Ga (0.289, 0.711, 0.750)
Ga (0.299, 0.024, 0.464)
Ga (0.701, 0.976, 0.536)
Ga (0.711, 0.289, 0.250)
Ga (0.976, 0.701, 0.036)

---

VASP calculation (PBE-GGA) on an optimized crystal structure of Al7Zn2Ga3.

Computed properties:
ΔH_f (0 K) = 0.0631 eV per atom

a = 5.083 Å, b = 2.827 Å, c = 14.527 Å
α = 90.00°, β = 97.67°, γ = 90.00°
Positions (direct):
Al (0.000, 0.000, 0.000)
Al (0.101, 0.500, 0.836)
Al (0.260, 0.500, 0.519)
Al (0.394, 0.000, 0.171)
Al (0.606, 0.000, 0.829)
Al (0.740, 0.500, 0.481)
Al (0.899, 0.500, 0.164)
Zn (0.303, 0.500, 0.332)
Zn (0.697, 0.500, 0.668)
Ga (0.186, 0.000, 0.674)
Ga (0.500, 0.500, 0.000)
Ga (0.814, 0.000, 0.326)

---

VASP calculation (PBE-GGA) on an optimized crystal structure of Al5Zn2Ga.

Computed properties:
ΔH_f (0 K) = 0.0733 eV per atom
energy above the lowest structure with this stoichiometry = 0 meV/atom

a = 3.951 Å, b = 12.245 Å, c = 6.088 Å
α = 90.00°, β = 106.22°, γ = 90.00°
Positions (direct):
Al (0.078, 0.090, 0.162)
Al (0.078, 0.410, 0.162)
Al (0.084, 0.750, 0.176)
Al (0.420, 0.081, 0.829)
Al (0.420, 0.419, 0.829)
Al (0.580, 0.581, 0.171)
Al (0.580, 0.919, 0.171)
Al (0.916, 0.250, 0.824)
Al (0.922, 0.590, 0.838)
Al (0.922, 0.910, 0.838)
Zn (0.251, 0.581, 0.507)
Zn (0.251, 0.919, 0.507)
Zn (0.749, 0.081, 0.493)
Zn (0.749, 0.419, 0.493)
Ga (0.260, 0.250, 0.481)
Ga (0.740, 0.750, 0.519)

---

VASP calculation (PBE-GGA) on an optimized crystal structure of Al4Zn4Ga3.

Computed properties:
ΔH_f (0 K) = 0.0737 eV per atom

a = 8.216 Å, b = 6.207 Å, c = 6.207 Å
α = 36.89°, β = 90.00°, γ = 90.00°
Positions (direct):
Al (0.000, 0.000, 0.000)
Al (0.247, 0.498, 0.498)
Al (0.500, 0.992, 0.992)
Al (0.753, 0.498, 0.498)
Zn (0.000, 0.328, 0.328)
Zn (0.226, 0.161, 0.161)
Zn (0.500, 0.329, 0.329)
Zn (0.774, 0.161, 0.161)
Ga (0.237, 0.822, 0.822)
Ga (0.500, 0.662, 0.662)
Ga (0.763, 0.822, 0.822)

---

VASP calculation (PBE-GGA) on an optimized crystal structure of Al12Zn6Ga.

Computed properties:
ΔH_f (0 K) = 0.0387 eV per atom
energy above the lowest structure with this stoichiometry = 0 meV/atom

a = 7.490 Å, b = 7.490 Å, c = 7.490 Å
α = 110.67°, β = 110.67°, γ = 110.67°
Positions (direct):
Al (0.024, 0.289, 0.180)
Al (0.180, 0.024, 0.289)
Al (0.235, 0.606, 0.662)
Al (0.289, 0.180, 0.024)
Al (0.338, 0.765, 0.394)
Al (0.394, 0.338, 0.765)
Al (0.606, 0.662, 0.235)
Al (0.662, 0.235, 0.606)
Al (0.711, 0.820, 0.976)
Al (0.765, 0.394, 0.338)
Al (0.820, 0.976, 0.711)
Al (0.976, 0.711, 0.820)
Zn (0.076, 0.865, 0.551)
Zn (0.135, 0.449, 0.924)
Zn (0.449, 0.924, 0.135)
Zn (0.551, 0.076, 0.865)
Zn (0.865, 0.551, 0.076)
Zn (0.924, 0.135, 0.449)
Ga (0.500, 0.500, 0.500)

---

VASP calculation (PBE-GGA) on an optimized crystal structure of Al8Zn3Ga2.

Computed properties:
ΔH_f (0 K) = 0.1720 eV per atom

a = 7.364 Å, b = 7.364 Å, c = 6.129 Å
α = 108.04°, β = 108.04°, γ = 53.47°
Positions (direct):
Al (0.054, 0.656, 0.100)
Al (0.116, 0.116, 0.455)
Al (0.301, 0.301, 0.346)
Al (0.344, 0.946, 0.900)
Al (0.656, 0.054, 0.100)
Al (0.699, 0.699, 0.654)
Al (0.884, 0.884, 0.545)
Al (0.946, 0.344, 0.900)
Zn (0.000, 0.000, 0.000)
Zn (0.313, 0.687, 0.500)
Zn (0.687, 0.313, 0.500)
Ga (0.324, 0.324, 0.796)
Ga (0.676, 0.676, 0.204)

---

VASP calculation (PBE-GGA) on an optimized crystal structure of Al4Zn2Ga3.

Computed properties:
ΔH_f (0 K) = 0.0486 eV per atom
energy above the lowest structure with this stoichiometry = 0 meV/atom

a = 6.855 Å, b = 6.855 Å, c = 6.346 Å
α = 107.49°, β = 107.49°, γ = 32.56°
Positions (direct):
Al (0.060, 0.060, 0.334)
Al (0.277, 0.277, 0.669)
Al (0.723, 0.723, 0.331)
Al (0.940, 0.940, 0.666)
Zn (0.171, 0.171, 0.001)
Zn (0.829, 0.829, 0.999)
Ga (0.388, 0.388, 0.333)
Ga (0.500, 0.500, 0.000)
Ga (0.612, 0.612, 0.667)

---

VASP calculation (PBE-GGA) on an optimized crystal structure of Al3Zn3Ga2.

Computed properties:
ΔH_f (0 K) = 0.0706 eV per atom
energy above the lowest structure with this stoichiometry = 21 meV/atom

a = 6.254 Å, b = 6.254 Å, c = 11.894 Å
α = 90.00°, β = 90.00°, γ = 142.97°
Positions (direct):
Al (0.084, 0.916, 0.587)
Al (0.084, 0.916, 0.913)
Al (0.266, 0.734, 0.750)
Al (0.734, 0.266, 0.250)
Al (0.916, 0.084, 0.087)
Al (0.916, 0.084, 0.413)
Zn (0.403, 0.597, 0.250)
Zn (0.432, 0.568, 0.597)
Zn (0.432, 0.568, 0.903)
Zn (0.568, 0.432, 0.097)
Zn (0.568, 0.432, 0.403)
Zn (0.597, 0.403, 0.750)
Ga (0.229, 0.771, 0.088)
Ga (0.229, 0.771, 0.412)
Ga (0.771, 0.229, 0.588)
Ga (0.771, 0.229, 0.912)

---

VASP calculation (PBE-GGA) on an optimized crystal structure of AlZn4Ga4.

Computed properties:
ΔH_f (0 K) = 0.0407 eV per atom

a = 6.395 Å, b = 6.395 Å, c = 6.395 Å
α = 96.00°, β = 96.00°, γ = 142.26°
Positions (direct):
Al (0.000, 0.000, 0.000)
Zn (0.000, 0.340, 0.340)
Zn (0.000, 0.660, 0.660)
Zn (0.340, 0.000, 0.340)
Zn (0.660, 0.000, 0.660)
Ga (0.333, 0.333, 0.667)
Ga (0.333, 0.667, 0.000)
Ga (0.667, 0.333, 0.000)
Ga (0.667, 0.667, 0.333)

---

VASP calculation (PBE-GGA) on an optimized crystal structure of Al2Zn3Ga2.

Computed properties:
ΔH_f (0 K) = 0.0744 eV per atom
energy above the lowest structure with this stoichiometry = 0 meV/atom

a = 4.823 Å, b = 4.940 Å, c = 6.166 Å
α = 102.41°, β = 107.93°, γ = 109.71°
Positions (direct):
Al (0.124, 0.129, 0.247)
Al (0.876, 0.871, 0.753)
Zn (0.233, 0.736, 0.471)
Zn (0.500, 0.000, 0.000)
Zn (0.767, 0.264, 0.529)
Ga (0.388, 0.376, 0.755)
Ga (0.612, 0.624, 0.245)

---

VASP calculation (PBE-GGA) on an optimized crystal structure of Al4Zn5Ga.

Computed properties:
ΔH_f (0 K) = 0.0845 eV per atom

a = 8.210 Å, b = 9.287 Å, c = 4.451 Å
α = 90.00°, β = 90.00°, γ = 90.00°
Positions (direct):
Al (0.074, 0.250, 0.128)
Al (0.250, 0.584, 0.247)
Al (0.250, 0.916, 0.247)
Al (0.426, 0.250, 0.128)
Al (0.574, 0.750, 0.872)
Al (0.750, 0.084, 0.753)
Al (0.750, 0.416, 0.753)
Al (0.926, 0.750, 0.872)
Zn (0.080, 0.017, 0.746)
Zn (0.080, 0.483, 0.746)
Zn (0.250, 0.250, 0.616)
Zn (0.420, 0.017, 0.746)
Zn (0.420, 0.483, 0.746)
Zn (0.580, 0.517, 0.254)
Zn (0.580, 0.983, 0.254)
Zn (0.750, 0.750, 0.384)
Zn (0.920, 0.517, 0.254)
Zn (0.920, 0.983, 0.254)
Ga (0.250, 0.750, 0.734)
Ga (0.750, 0.250, 0.266)